The following is a PBE calculation of a relaxed structure of Zn2Fe2H, from Alexandria.

For the energy above the most stable polymorph in this dataset, the calculation gives 0.75 eV/f.u. For the total magnetic moment, the calculation gives 0.8965 μB per atom. The density of states at the Fermi level is 8.293 states/eV/cell.

a b c (Å): 5.078 5.078 4.405
angles (deg): 90.00 90.00 90.00
Space group P4/mbm (No. 127)
One atom of each set of equivalent atoms:
1 Zn 0.167 0.333 0.000
2 Fe 0.166 0.666 0.500
3 H 0.000 0.000 0.500

***

The following is a PBE calculation of a relaxed structure of ZnFe3H, from Alexandria.

For the energy above the most stable polymorph in this dataset, the calculation gives 0.38 eV/f.u. For the total magnetic moment, the calculation gives 1.3853 μB per atom. The density of states at the Fermi level is 6.778 states/eV/cell.

a b c (Å): 3.627 4.508 7.026
angles (deg): 88.80 75.15 66.31
Space group P-1 (No. 2)
One atom of each set of equivalent atoms:
1 Zn 0.185 0.194 0.435
2 Fe 0.069 0.056 0.807
3 Fe 0.312 0.309 0.067
4 Fe 0.443 0.423 0.691
5 H 0.192 0.682 0.933

***

The following is a PBE calculation of a relaxed structure of ZrFeH4, from Alexandria.

For the total magnetic moment, the calculation gives 0.0000 μB per atom. The density of states at the Fermi level is 5.790 states/eV/cell. The value obtained for the total energy is -0.387 Ry/atom.

a b c (Å): 4.804 8.015 5.369
angles (deg): 90.00 113.22 90.00
Space group C2/c (No. 15)
One atom of each set of equivalent atoms:
1 Zr 0.000 0.125 0.250
2 Fe 0.000 0.458 0.250
3 H 0.010 0.374 0.545
4 H 0.159 0.109 0.667

***

The following is a PBE calculation of a relaxed structure of ZrFe2H8, from Alexandria.

For the total magnetic moment, the calculation gives 0.0811 μB per atom. The density of states at the Fermi level is 3.762 states/eV/cell. The value obtained for the total energy is -0.355 Ry/atom.

a b c (Å): 4.006 4.006 4.355
angles (deg): 90.00 90.00 90.00
Space group P4/mmm (No. 123)
One atom of each set of equivalent atoms:
1 Zr 0.000 0.000 0.000
2 Fe 0.000 0.500 0.500
3 H 0.287 0.287 0.291

***

The following is a PBE calculation of a relaxed structure of Zr2FeH, from Alexandria.

For the energy above the most stable polymorph in this dataset, the calculation gives 0.00 eV/f.u. For the total magnetic moment, the calculation gives 0.0000 μB per atom. The density of states at the Fermi level is 8.884 states/eV/cell.

a b c (Å): 6.026 6.026 6.614
angles (deg): 90.00 90.00 90.00
Space group I-42d (No. 122)
One atom of each set of equivalent atoms:
1 Zr 0.191 0.750 0.125
2 Fe 0.000 0.000 0.500
3 H 0.000 0.000 0.000

***

The following is a PBE calculation of a relaxed structure of Zr3FeH, from Alexandria.

For the energy above the most stable polymorph in this dataset, the calculation gives 0.00 eV/f.u. For the total magnetic moment, the calculation gives 0.0001 μB per atom. The density of states at the Fermi level is 8.037 states/eV/cell.

a b c (Å): 4.334 4.334 4.334
angles (deg): 90.00 90.00 90.00
Space group Pm-3m (No. 221)
One atom of each set of equivalent atoms:
1 Zr 0.000 0.000 0.500
2 Fe 0.500 0.500 0.500
3 H 0.000 0.000 0.000

***

The following is a PBE calculation of a relaxed structure of ZrFe3H, from Alexandria.

For the energy above the most stable polymorph in this dataset, the calculation gives 0.00 eV/f.u. For the total magnetic moment, the calculation gives 0.9649 μB per atom. The density of states at the Fermi level is 4.129 states/eV/cell.

a b c (Å): 3.835 3.835 3.835
angles (deg): 90.00 90.00 90.00
Space group Pm-3m (No. 221)
One atom of each set of equivalent atoms:
1 Zr 0.000 0.000 0.000
2 Fe 0.000 0.500 0.500
3 H 0.500 0.500 0.500

***

The following is a PBE calculation of a relaxed structure of ZrFe3H, from Alexandria.

For the energy above the most stable polymorph in this dataset, the calculation gives 10.90 eV/f.u. For the total magnetic moment, the calculation gives 1.1962 μB per atom. The density of states at the Fermi level is 6.741 states/eV/cell.

a b c (Å): 4.662 4.662 4.662
angles (deg): 90.00 90.00 90.00
Space group Pm-3m (No. 221)
One atom of each set of equivalent atoms:
1 Zr 0.000 0.000 0.000
2 Fe 0.000 0.000 0.500
3 H 0.500 0.500 0.500

***

The following is a PBE calculation of a relaxed structure of Zr2FeH, from Alexandria.

For the energy above the most stable polymorph in this dataset, the calculation gives 0.62 eV/f.u. For the total magnetic moment, the calculation gives 0.0000 μB per atom. The density of states at the Fermi level is 12.226 states/eV/cell.

a b c (Å): 6.193 6.193 6.193
angles (deg): 90.00 90.00 90.00
Space group Fm-3m (No. 225)
One atom of each set of equivalent atoms:
1 Zr 0.250 0.250 0.250
2 Fe 0.000 0.000 0.000
3 H 0.000 0.000 0.500

***

The following is a PBE calculation of a relaxed structure of Zr5Fe2H12, from Alexandria.

For the total magnetic moment, the calculation gives 0.0000 μB per atom. The density of states at the Fermi level is 13.698 states/eV/cell. The value obtained for the total energy is -0.411 Ry/atom.

a b c (Å): 9.695 5.390 6.605
angles (deg): 90.00 102.00 90.00
Space group C2/m (No. 12)
One atom of each set of equivalent atoms:
1 Zr 0.000 0.000 0.000
2 Zr 0.154 0.500 0.864
3 Zr 0.228 0.500 0.344
4 Fe 0.000 0.241 0.500
5 H 0.021 0.500 0.358
6 H 0.033 0.000 0.671
7 H 0.167 0.309 0.587
8 H 0.171 0.241 0.103

***

The following is a PBE calculation of a relaxed structure of ZrFeH3, from Alexandria.

For the total magnetic moment, the calculation gives 0.0152 μB per atom. The density of states at the Fermi level is 8.709 states/eV/cell. The value obtained for the total energy is -0.416 Ry/atom.

a b c (Å): 5.406 4.171 8.006
angles (deg): 90.00 113.36 90.00
Space group P2_1/c (No. 14)
One atom of each set of equivalent atoms:
1 Zr 0.196 0.247 0.182
2 Fe 0.347 0.747 0.441
3 H 0.135 0.750 0.232
4 H 0.299 0.118 0.462
5 H 0.480 0.526 0.627

***

The following is a PBE calculation of a relaxed structure of ZrFeH3, from Alexandria.

For the total magnetic moment, the calculation gives 0.5622 μB per atom. The density of states at the Fermi level is 3.107 states/eV/cell. The value obtained for the total energy is -0.377 Ry/atom.

a b c (Å): 3.726 3.726 3.726
angles (deg): 90.00 90.00 90.00
Space group Pm-3m (No. 221)
One atom of each set of equivalent atoms:
1 Zr 0.000 0.000 0.000
2 Fe 0.500 0.500 0.500
3 H 0.000 0.000 0.500